VASP calculation (PBE) on a geometry-optimized SrCuPt2 structure.

Properties
- Formation energy from the elements: -296 meV per atom
- Magnetic moment: 0.0 μB/f.u.
- DOS at the Fermi energy: 7.18 states/eV per cell

abc: 4.911 4.911 9.169
angles: 74.47 74.47 90.00
Positions (direct):
Cu: 0.500 0.500 0.000
Cu: 0.250 0.750 0.500
Sr: 0.000 0.000 0.000
Sr: 0.750 0.250 0.500
Pt: 0.375 0.571 0.750
Pt: 0.429 0.125 0.250
Pt: 0.321 0.625 0.250
Pt: 0.875 0.679 0.750

***

VASP calculation (PBE) on a geometry-optimized YCu2F8 structure.

Properties
- Magnetic moment: 1.0 μB/f.u.
- DOS at the Fermi energy: 10.78 states/eV per cell
- Uncorrected formation energy: -2.2341 eV/atom

abc: 3.900 6.679 6.679
angles: 120.04 90.00 90.01
Last column: magnetic moment on the atom in μB.
Positions (direct):
F: 0.734 0.833 0.665  0.06
F: 0.266 0.167 0.335  0.06
F: 0.734 0.832 0.167  0.06
F: 0.765 0.333 0.667  0.00
F: 0.734 0.335 0.168  0.06
F: 0.235 0.667 0.333  0.00
F: 0.266 0.665 0.832  0.06
F: 0.266 0.168 0.833  0.06
Cu: 0.736 0.667 0.333  0.33
Cu: 0.264 0.333 0.667  0.33
Y: 0.000 0.000 0.000  0.00

***

VASP calculation (PBE) on a geometry-optimized HoLu2Pb structure.

Properties
- Formation energy from the elements: 140 meV per atom
- Offset from the most stable computed form: 35.9 kJ per mole of atoms
- Magnetic moment: 0.9 μB/f.u.
- DOS at the Fermi energy: 5.69 states/eV per cell

abc: 3.446 3.446 12.006
angles: 81.75 81.75 60.00
Last column: magnetic moment on the atom in μB.
Positions (direct):
Pb: 0.500 0.500 0.500  0.00
Lu: 0.093 0.093 0.720  0.15
Lu: 0.907 0.907 0.280  0.15
Ho: 0.000 0.000 0.000  0.36

***

VASP calculation (PBE) on a geometry-optimized SiMoI3 structure.

Properties
- Offset from the most stable computed form: 0.0 kJ per mole of atoms
- Magnetic moment: 5.0 μB/f.u.
- DOS at the Fermi energy: 3.57 states/eV per cell
- Uncorrected formation energy: 0.8183 eV/atom

abc: 5.642 5.642 5.642
angles: 90.00 90.00 90.00
Last column: magnetic moment on the atom in μB.
Positions (direct):
Si: 0.500 0.500 0.500  0.42
I: 0.000 0.500 0.000  0.02
I: 0.500 0.000 0.000  0.02
I: 0.000 0.000 0.500  0.01
Mo: 0.000 0.000 0.000  2.94

***

VASP calculation (PBE) on a geometry-optimized Zr2TePtN structure.

Properties
- Magnetic moment: 0.0 μB/f.u.
- DOS at the Fermi energy: 3.74 states/eV per cell
- Uncorrected formation energy: 0.1162 eV/atom

abc: 5.333 3.746 5.333
angles: 90.00 90.00 90.00
Positions (direct):
Zr: 0.000 0.000 0.500
Zr: 0.500 0.000 0.000
Pt: 0.000 0.000 0.000
N: 0.000 0.500 0.000
Te: 0.500 0.500 0.500

***

VASP calculation (PBE) on a geometry-optimized Zr2RhW structure.

Properties
- Formation energy from the elements: -11 meV per atom
- Offset from the most stable computed form: 34.0 kJ per mole of atoms
- Magnetic moment: 0.0 μB/f.u.
- DOS at the Fermi energy: 3.71 states/eV per cell

abc: 8.918 8.918 8.918
angles: 20.40 20.40 20.40
Positions (direct):
W: 0.750 0.750 0.750
Rh: 0.250 0.250 0.250
Zr: 0.999 0.999 0.999
Zr: 0.501 0.501 0.501

***

VASP calculation (PBE) on a geometry-optimized Si4Te3 structure.

Properties
- Offset from the most stable computed form: 37.6 kJ per mole of atoms
- Magnetic moment: 0.0 μB/f.u.
- DOS at the Fermi energy: 4.43 states/eV per cell
- Uncorrected formation energy: 0.6341 eV/atom

abc: 5.726 5.726 5.726
angles: 90.00 90.00 90.00
Positions (direct):
Te: 0.500 0.000 0.000
Te: 0.000 0.000 0.500
Te: 0.000 0.500 0.000
Si: 0.500 0.000 0.500
Si: 0.000 0.000 0.000
Si: 0.500 0.500 0.000
Si: 0.000 0.500 0.500

***

VASP calculation (PBE) on a geometry-optimized CaGaGe structure.

Properties
- Formation energy from the elements: -414 meV per atom
- Magnetic moment: 0.0 μB/f.u.
- DOS at the Fermi energy: 6.89 states/eV per cell

abc: 4.438 7.137 9.147
angles: 90.00 90.00 90.00
Positions (direct):
Ca: 0.250 0.850 0.348
Ca: 0.750 0.650 0.848
Ca: 0.250 0.350 0.152
Ca: 0.750 0.150 0.652
Ge: 0.750 0.648 0.173
Ge: 0.750 0.148 0.327
Ge: 0.250 0.352 0.827
Ge: 0.250 0.852 0.673
Ga: 0.250 0.002 0.919
Ga: 0.750 0.498 0.419
Ga: 0.250 0.502 0.581
Ga: 0.750 0.998 0.081

***

VASP calculation (PBE) on a geometry-optimized NaZn6Pd5 structure.

Properties
- Formation energy from the elements: -427 meV per atom
- Magnetic moment: 0.0 μB/f.u.
- DOS at the Fermi energy: 4.41 states/eV per cell

abc: 4.452 6.037 7.676
angles: 113.10 106.78 90.18
Positions (direct):
Zn: 0.176 0.435 0.352
Zn: 0.824 0.565 0.648
Zn: 0.500 0.269 0.000
Zn: 0.500 0.731 0.000
Zn: 0.176 0.917 0.352
Zn: 0.824 0.083 0.648
Pd: 0.657 0.157 0.314
Pd: 0.343 0.843 0.686
Pd: 0.665 0.665 0.330
Pd: 0.000 0.500 0.000
Pd: 0.335 0.335 0.670
Na: 0.000 0.000 0.000

***

VASP calculation (PBE) on a geometry-optimized YEr12Sc6 structure.

Properties
- Formation energy from the elements: 243 meV per atom
- Offset from the most stable computed form: 0.0 kJ per mole of atoms
- Magnetic moment: 0.0 μB/f.u.
- DOS at the Fermi energy: 28.18 states/eV per cell

abc: 8.985 8.985 8.985
angles: 109.47 109.47 109.47
Positions (direct):
Er: 0.733 0.929 0.196
Er: 0.267 0.462 0.196
Er: 0.929 0.196 0.733
Er: 0.196 0.733 0.929
Er: 0.462 0.196 0.267
Er: 0.267 0.071 0.804
Er: 0.071 0.804 0.267
Er: 0.733 0.538 0.804
Er: 0.538 0.804 0.733
Er: 0.196 0.267 0.462
Er: 0.804 0.267 0.071
Er: 0.804 0.733 0.538
Sc: 0.500 0.862 0.362
Sc: 0.138 0.638 0.500
Sc: 0.862 0.362 0.500
Sc: 0.362 0.500 0.862
Sc: 0.500 0.138 0.638
Sc: 0.638 0.500 0.138
Y: 0.000 0.000 0.000

***

VASP calculation (PBE) on a geometry-optimized Sr2CuPt structure.

Properties
- Formation energy from the elements: -216 meV per atom
- Magnetic moment: 0.0 μB/f.u.
- DOS at the Fermi energy: 1.74 states/eV per cell

abc: 6.164 6.164 6.164
angles: 138.19 138.19 60.62
Positions (direct):
Sr: 0.250 0.750 0.500
Sr: 0.000 0.000 0.000
Cu: 0.500 0.500 0.000
Pt: 0.750 0.250 0.500

***

VASP calculation (PBE) on a geometry-optimized LuBeCo2 structure.

Properties
- Formation energy from the elements: -194 meV per atom
- Magnetic moment: 1.4 μB/f.u.
- DOS at the Fermi energy: 4.95 states/eV per cell

abc: 3.847 3.847 5.123
angles: 67.95 67.95 60.00
Last column: magnetic moment on the atom in μB.
Positions (direct):
Lu: 0.000 0.000 0.000  0.12
Be: 0.500 0.500 0.500  0.04
Co: 0.191 0.191 0.427  -0.82
Co: 0.809 0.809 0.573  -0.82

***

Number 3 is which compound? HoLu2Pb

***

Please write out number 1 again, unchanged.
VASP calculation (PBE) on a geometry-optimized SrCuPt2 structure.

Properties
- Formation energy from the elements: -296 meV per atom
- Magnetic moment: 0.0 μB/f.u.
- DOS at the Fermi energy: 7.18 states/eV per cell

abc: 4.911 4.911 9.169
angles: 74.47 74.47 90.00
Positions (direct):
Cu: 0.500 0.500 0.000
Cu: 0.250 0.750 0.500
Sr: 0.000 0.000 0.000
Sr: 0.750 0.250 0.500
Pt: 0.375 0.571 0.750
Pt: 0.429 0.125 0.250
Pt: 0.321 0.625 0.250
Pt: 0.875 0.679 0.750

***

Among the records above, which one has the highest DOS at the Fermi energy? YEr12Sc6

***

What is the DOS at the Fermi energy in the sixth record? 3.71 states/eV per cell